# 1
The following is a DFT calculation (PBE-GGA) of a relaxed NaSmGa2Pt2 crystal.

Structure (POSCAR):
```
NaSmGa2Pt2
1.0
4.446 0.000 0.000
-2.223 3.850 0.000
0.000 0.000 6.848
Na Sm Ga Pt
1 1 2 2
Cartesian
0.000 0.000 0.000
0.000 0.000 3.424
0.000 2.567 5.467
2.223 1.283 1.382
0.000 2.567 1.598
2.223 1.283 5.250
```

## Properties
The calculation puts the energy relative to the elements at -735 meV/atom.



# 2
The following is a DFT calculation (PBE-GGA) of a relaxed Na2AgTe2 crystal.

Structure (POSCAR):
```
Na2AgTe2
1.0
-3.611 6.421 3.187
3.611 -6.421 3.187
3.611 6.421 -3.187
Na Ag Te
4 2 4
Cartesian
1.241 1.627 0.000
1.241 -1.627 3.187
2.370 8.048 0.000
2.370 4.793 3.187
3.611 0.000 1.593
0.000 6.421 1.593
5.277 1.649 0.000
1.666 4.772 0.000
1.945 1.649 3.187
-1.666 4.772 3.187
```

## Properties
The calculation puts the energy relative to the elements, uncorrected at -0.519 eV/atom. Its energy above the lowest structure with this stoichiometry is 46 meV per atom.



Values of total moment, in order: 0.00, 0.00, all in μB per formula unit.